Here is a geometry-optimized CaRe2Br structure from Alexandria. Energies are from PBE.

a = 8.186 Å, b = 8.186 Å, c = 6.304 Å
α = 49.52°, β = 49.52°, γ = 90.00°
Site moments in Bohr magnetons follow the coordinates.
Positions (direct):
Ca1 0.250 0.750 0.500  0.00
Ca2 0.500 0.500 0.000  0.00
Br1 0.750 0.250 0.500  0.01
Br2 0.000 0.000 0.000  0.01
Re1 0.875 0.934 0.750  0.32
Re2 0.375 0.316 0.750  0.30
Re3 0.684 0.125 0.250  0.34
Re4 0.066 0.625 0.250  0.36

Results
- Raw total energy: -5.831 eV/atom
- Space group: I-42d (122)
- DOS at the Fermi energy: 0.8741 states/eV/atom
- M_tot: 0.192 μB per atom